(1)
# ScBe2Te

A geometry-optimized ScBe2Te structure (GGA-PBEsol, the Alexandria database).

a b c (Å): 4.1066 9.1154 3.9402
angles (deg): 90.00 90.00 90.00
Closest atoms and distances in Å follow each position.
Space group Cmmm (No. 65)
One atom of each set of equivalent atoms:
1 Sc 0.0000 0.0000 0.0000 (multiplicity 2)  6 Be 2.67-2.79, 4 Te 2.85
2 Be 0.0000 0.2930 0.0000 (multiplicity 4)  2 Be 2.20
3 Te 0.0000 0.5000 0.5000 (multiplicity 2)  4 Be 2.73, 4 Sc 2.85

- total DFT energy (no corrections) (eV/cell) = -36.4
- raw formation energy (eV/atom) = -0.0126
- spin magnetization (μB/f.u.) = 0.001

***

(2)
# Be2SiBr

A geometry-optimized Be2SiBr structure (GGA-PBEsol, the Alexandria database).

a b c (Å): 3.2549 3.2549 13.1046
angles (deg): 90.00 90.00 90.00
Closest atoms and distances in Å follow each position.
Space group I-4m2 (No. 119)
One atom of each set of equivalent atoms:
1 Be 0.0000 0.0000 0.0000 (multiplicity 2)  4 Br 2.30
2 Be 0.0000 0.5000 0.2500 (multiplicity 2)  4 Si 2.30
3 Si 0.0000 0.5000 0.7500 (multiplicity 2)  4 Be 2.30
4 Br 0.0000 0.0000 0.5000 (multiplicity 2)  4 Be 2.30

- polymorph energy (0 for the lowest one) (meV/atom) = 440
- total DFT energy (no corrections) (eV/cell) = -25.1
- raw formation energy (eV/atom) = 0.7653
- spin magnetization (μB/f.u.) = 0.000

***

(3)
# Be2InBr

A geometry-optimized Be2InBr structure (GGA-PBEsol, the Alexandria database).

a b c (Å): 6.8176 6.8176 6.8176
angles (deg): 90.00 90.00 90.00
Closest atoms and distances in Å follow each position.
Space group F-43m (No. 216)
One atom of each set of equivalent atoms:
1 Be 0.0000 0.0000 0.0000 (multiplicity 4)  4 In 2.95, 4 Be 2.95
2 Be 0.2500 0.2500 0.2500 (multiplicity 4)  4 Br 2.95, 4 Be 2.95
3 In 0.2500 0.2500 0.7500 (multiplicity 4)  4 Br 2.95, 4 Be 2.95
4 Br 0.0000 0.0000 0.5000 (multiplicity 4)  4 In 2.95, 4 Be 2.95

- polymorph energy (0 for the lowest one) (meV/atom) = 607
- total DFT energy (no corrections) (eV/cell) = -35.3
- raw formation energy (eV/atom) = 1.0053
- spin magnetization (μB/f.u.) = 0.000

***

(4)
# LaTaCl

A geometry-optimized LaTaCl structure (GGA-PBEsol, the Alexandria database).

a b c (Å): 3.1725 3.1725 7.4058
angles (deg): 90.00 90.00 120.00
Closest atoms and distances in Å follow each position.
Space group P3m1 (No. 156)
One atom of each set of equivalent atoms:
1 La 0.0000 0.0000 0.0000 (multiplicity 1)  6 La 3.17, 3 Ta 3.32, 3 Cl 3.43
2 Ta 0.6667 0.3333 0.6253 (multiplicity 1)  3 Cl 2.52
3 Cl 0.3333 0.6667 0.3917 (multiplicity 1)  3 Ta 2.52

- polymorph energy (0 for the lowest one) (meV/atom) = 0
- total DFT energy (no corrections) (eV/cell) = -20.5
- raw formation energy (eV/atom) = -0.1964
- spin magnetization (μB/f.u.) = 0.000

***

(5)
# La2CrF

A geometry-optimized La2CrF structure (GGA-PBEsol, the Alexandria database).

a b c (Å): 7.0179 7.0179 7.0179
angles (deg): 90.00 90.00 90.00
Closest atoms and distances in Å follow each position.
Space group Fm-3m (No. 225)
One atom of each set of equivalent atoms:
1 La 0.2500 0.2500 0.2500 (multiplicity 8)  4 Cr 3.04, 4 F 3.04
2 Cr 0.0000 0.0000 0.0000 (multiplicity 4)  8 La 3.04
3 F 0.0000 0.0000 0.5000 (multiplicity 4)  8 La 3.04

- total DFT energy (no corrections) (eV/cell) = -97.6
- raw formation energy (eV/atom) = -0.3871
- spin magnetization (μB/f.u.) = 2.423

***

(6)
# CdNiH2Cl

A geometry-optimized CdNiH2Cl structure (GGA-PBEsol, the Alexandria database).

a b c (Å): 3.6135 3.6135 4.7156
angles (deg): 90.00 90.00 90.00
Closest atoms and distances in Å follow each position.
Space group P4/mmm (No. 123)
One atom of each set of equivalent atoms:
1 Cd 0.0000 0.0000 0.0000 (multiplicity 1)  4 Ni 2.56
2 Ni 0.5000 0.5000 0.0000 (multiplicity 1)  2 Cl 2.36, 4 Cd 2.56
3 H 0.0000 0.5000 0.5000 (multiplicity 2)  2 Cl 1.81
4 Cl 0.5000 0.5000 0.5000 (multiplicity 1)  4 H 1.81

- total DFT energy (no corrections) (eV/cell) = -12.6
- spin magnetization (μB/f.u.) = 0.000

***

(7)
# CsPSe2Br

A geometry-optimized CsPSe2Br structure (GGA-PBEsol, the Alexandria database).

a b c (Å): 4.8961 4.8961 5.5793
angles (deg): 90.00 90.00 90.00
Closest atoms and distances in Å follow each position.
Space group P4/mmm (No. 123)
One atom of each set of equivalent atoms:
1 Cs 0.0000 0.0000 0.0000 (multiplicity 1)  4 Br 3.46, 8 Se 3.71
2 P 0.5000 0.5000 0.5000 (multiplicity 1)  4 Se 2.45
3 Se 0.0000 0.5000 0.5000 (multiplicity 2)  2 P 2.45
4 Br 0.5000 0.5000 0.0000 (multiplicity 1)  2 P 2.79

- total DFT energy (no corrections) (eV/cell) = -18.4
- raw formation energy (eV/atom) = -0.4099
- spin magnetization (μB/f.u.) = 0.000

***

(8)
# CaP2Cl

A geometry-optimized CaP2Cl structure (GGA-PBEsol, the Alexandria database).

a b c (Å): 5.1167 5.1396 12.2102
angles (deg): 90.00 90.00 90.00
Closest atoms and distances in Å follow each position.
Space group Fmmm (No. 69)
One atom of each set of equivalent atoms:
1 Ca 0.0000 0.0000 0.0000 (multiplicity 4)  4 Cl 2.56-2.57
2 P 0.0000 0.2500 0.2500 (multiplicity 8)  4 P 2.56-2.57
3 Cl 0.0000 0.0000 0.5000 (multiplicity 4)  4 Ca 2.56-2.57

- polymorph energy (0 for the lowest one) (meV/atom) = 0
- total DFT energy (no corrections) (eV/cell) = -74.0
- raw formation energy (eV/atom) = -0.6948
- spin magnetization (μB/f.u.) = 0.000

***

(9)
# Sr3Eu

A geometry-optimized Sr3Eu structure (GGA-PBEsol, the Alexandria database).

a b c (Å): 5.8127 5.8127 5.8127
angles (deg): 90.00 90.00 90.00
Closest atoms and distances in Å follow each position.
Space group Pm-3m (No. 221)
One atom of each set of equivalent atoms:
1 Sr 0.0000 0.0000 0.5000 (multiplicity 3)  4 Eu 4.11, 8 Sr 4.11
2 Eu 0.5000 0.5000 0.5000 (multiplicity 1)  12 Sr 4.11

- polymorph energy (0 for the lowest one) (meV/atom) = 3
- total DFT energy (no corrections) (eV/cell) = -15.9
- spin magnetization (μB/f.u.) = 7.492
- formation energy (eV/atom) = 0.044

***

(10)
# KYNi2

A geometry-optimized KYNi2 structure (GGA-PBEsol, the Alexandria database).

a b c (Å): 3.9272 3.8852 13.0496
angles (deg): 90.00 90.00 90.00
Closest atoms and distances in Å follow each position.
Space group Amm2 (No. 38)
One atom of each set of equivalent atoms:
1 K 0.0000 0.0000 0.0000 (multiplicity 2)  6 Ni 3.26-3.43
2 Y 0.5000 0.0000 0.2670 (multiplicity 2)  6 Ni 2.62-2.84
3 Ni 0.0000 0.0000 0.7170 (multiplicity 2)  2 Ni 2.25
4 Ni 0.5000 0.0000 0.6323 (multiplicity 2)  2 Ni 2.25

- polymorph energy (0 for the lowest one) (meV/atom) = 0
- total DFT energy (no corrections) (eV/cell) = -38.7
- spin magnetization (μB/f.u.) = 0.000
- formation energy (eV/atom) = 0.233

***

(11)
# AuSO4

A geometry-optimized AuSO4 structure (GGA-PBEsol, the Alexandria database).

a b c (Å): 8.3828 10.3127 8.5876
angles (deg): 90.00 90.00 90.00
Closest atoms and distances in Å follow each position.
Space group Pbca (No. 61)
One atom of each set of equivalent atoms:
1 Au 0.0537 0.0156 0.1346 (multiplicity 8)  3 O 2.00-2.12
2 S 0.2318 0.1417 0.4205 (multiplicity 8)  4 O 1.43-1.53
3 O 0.1139 0.6493 0.3251 (multiplicity 8)  1 S 1.53
4 O 0.1371 0.0269 0.3672 (multiplicity 8)  1 S 1.50
5 O 0.1516 0.2363 0.9108 (multiplicity 8)  1 S 1.43
6 O 0.2257 0.6136 0.5902 (multiplicity 8)  1 S 1.53

- total DFT energy (no corrections) (eV/cell) = -276.2
- raw formation energy (eV/atom) = -0.8703
- spin magnetization (μB/f.u.) = 0.000

***

(12)
# Li3NdAs2

A geometry-optimized Li3NdAs2 structure (GGA-PBEsol, the Alexandria database).

a b c (Å): 4.2594 4.2594 6.8541
angles (deg): 90.00 90.00 120.00
Closest atoms and distances in Å follow each position.
Space group P-3m1 (No. 164)
One atom of each set of equivalent atoms:
1 Li 0.0000 0.0000 0.0000 (multiplicity 1)  6 Li 2.65, 6 As 2.97
2 Li 0.3333 0.6667 0.1455 (multiplicity 2)  4 As 2.55-2.66, 3 Li 2.65
3 Nd 0.0000 0.0000 0.5000 (multiplicity 1)  6 As 3.03
4 As 0.3333 0.6667 0.7573 (multiplicity 2)  4 Li 2.55-2.66

- total DFT energy (no corrections) (eV/cell) = -27.3
- spin magnetization (μB/f.u.) = 0.000
- formation energy (eV/atom) = -1.004

***

> spin magnetization of number 8 (CaP2Cl)?

0.000 μB/f.u.

***

> total DFT energy (no corrections) of number 4 (LaTaCl)?

-20.5 eV/cell